No. 1
The following is a PBE calculation of Ce2PrEr after structural relaxation, from Alexandria.

Crystal system: trigonal
DFT formation energy, eV per atom: 0.11
E_tot, eV per cell: -62.355
Fermi-level density of states, states/eV/cell: 32.0

Unit cell a=3.5085 b=3.5085 c=34.9721 alpha=90.00 beta=90.00 gamma=120.00
Space group R-3m (No. 166, hexagonal axes)
Inequivalent atoms, fractional coordinates:
Ce  0.0000  0.0000  0.2481
Pr  0.0000  0.0000  0.0000
Er  0.0000  0.0000  0.5000

---

No. 2
The following is a PBE calculation of CePr8Er2 after structural relaxation, from Alexandria.

Crystal system: orthorhombic
DFT formation energy, eV per atom: 0.12
E_tot, eV per cell: -104.048
Fermi-level density of states, states/eV/cell: 38.5

Unit cell a=5.7496 b=8.3016 c=16.1194 alpha=90.00 beta=90.00 gamma=90.00
Space group Immm (No. 71)
Inequivalent atoms, fractional coordinates:
Ce  0.0000  0.0000  0.0000
Pr  0.0000  0.2114  0.5000
Pr  0.0000  0.2924  0.1357
Pr  0.0000  0.5000  0.3368
Er  0.0000  0.0000  0.3002

---

No. 3
The following is a PBE calculation of CePr2Er8 after structural relaxation, from Alexandria.

Crystal system: monoclinic
DFT formation energy, eV per atom: 0.04
E_tot, eV per cell: -103.008
Fermi-level density of states, states/eV/cell: 36.7

Unit cell a=18.0859 b=5.0258 c=7.9298 alpha=90.00 beta=105.22 gamma=90.00
Space group C2/m (No. 12)
Inequivalent atoms, fractional coordinates:
Ce  0.0000  0.0000  0.0000
Pr  0.2282  0.5000  0.6375
Er  0.0438  0.5000  0.7302
Er  0.0888  0.0000  0.4522
Er  0.1343  0.5000  0.1760
Er  0.1793  0.0000  0.9062

---

No. 4
The following is a PBE calculation of CePrEr4 after structural relaxation, from Alexandria.

Crystal system: monoclinic
DFT formation energy, eV per atom: 0.05
E_tot, eV per cell: -28.646
Fermi-level density of states, states/eV/cell: 11.2

Unit cell a=6.1569 b=3.5386 c=8.6523 alpha=90.00 beta=90.04 gamma=90.00
Space group P2/m (No. 10)
Inequivalent atoms, fractional coordinates:
Ce  0.0000  0.0000  0.0000
Pr  0.5000  0.5000  0.0000
Er  0.1632  0.5000  0.6669
Er  0.3300  0.0000  0.3380

---

> Which of these has the lowest Fermi-level density of states?

CePrEr4